VASP calculation (GGA+U) on a geometry-optimized Pa5Co3O16 structure.

Geometry as CIF:
```
data_Pa5Co3O16
_cell_length_a 10.6841
_cell_length_b 6.9935
_cell_length_c 10.1058
_cell_angle_alpha 90.00
_cell_angle_beta 95.89
_cell_angle_gamma 90.00
_space_group_name_H-M_alt 'C 1 m 1'
_space_group_IT_number 8
_space_group_name_Hall 'C -2y'
loop_
_atom_site_label
_atom_site_type_symbol
_atom_site_fract_x
_atom_site_fract_y
_atom_site_fract_z
_atom_site_occupancy
Pa1 Pa 0.0000 0.0000 0.0000 1
Pa2 Pa 0.0032 0.5000 0.2016 1
Pa3 Pa 0.1980 0.0000 0.7341 1
Pa4 Pa 0.4182 0.2488 0.4897 1
Co1 Co 0.1718 0.5000 0.5111 1
Co2 Co 0.2428 0.2659 0.0045 1
O1 O 0.0162 0.0000 0.5969 1
O2 O 0.0692 0.3025 0.3687 1
O3 O 0.1034 0.1929 0.8670 1
O4 O 0.1608 0.5000 0.0934 1
O5 O 0.1751 0.0000 0.0994 1
O6 O 0.2588 0.2487 0.6030 1
O7 O 0.3175 0.5000 0.9111 1
O8 O 0.3301 0.5000 0.3972 1
O9 O 0.3306 0.0000 0.8843 1
O10 O 0.3571 0.0000 0.3607 1
O11 O 0.4136 0.2533 0.1081 1
O12 O 0.4974 0.0000 0.5974 1
```

VASP calculation (GGA+U) on a geometry-optimized Pa2Co3O8 structure.

Geometry as CIF:
```
data_Pa2Co3O8
_cell_length_a 9.3873
_cell_length_b 6.8962
_cell_length_c 5.0820
_cell_angle_alpha 90.00
_cell_angle_beta 91.32
_cell_angle_gamma 90.00
_space_group_name_H-M_alt 'C 1 2/m 1'
_space_group_IT_number 12
_space_group_name_Hall '-C 2y'
loop_
_atom_site_label
_atom_site_type_symbol
_atom_site_fract_x
_atom_site_fract_y
_atom_site_fract_z
_atom_site_occupancy
Pa1 Pa 0.1937 0.0000 0.4427 1
Co1 Co 0.0000 0.2712 0.0000 1
Co2 Co 0.0000 0.5000 0.5000 1
O1 O 0.0511 0.0000 0.7619 1
O2 O 0.1220 0.5000 0.8220 1
O3 O 0.1453 0.2992 0.3250 1
```

VASP calculation (GGA+U) on a geometry-optimized PaCoO2 structure.

Geometry as CIF:
```
data_PaCoO2
_cell_length_a 3.8383
_cell_length_b 3.8383
_cell_length_c 15.2935
_cell_angle_alpha 90.00
_cell_angle_beta 90.00
_cell_angle_gamma 120.00
_space_group_name_H-M_alt 'R -3 m'
_space_group_IT_number 166
_space_group_name_Hall '-R 3 2"'
loop_
_atom_site_label
_atom_site_type_symbol
_atom_site_fract_x
_atom_site_fract_y
_atom_site_fract_z
_atom_site_occupancy
Pa1 Pa 0.0000 0.0000 0.0000 1
Co1 Co 0.0000 0.0000 0.5000 1
O1 O 0.0000 0.0000 0.3761 1
```

Summary of uncorrected energy in eV/cell
-414.7; -208.5; -96.9
(order as listed above)